# 1
Below is RbZr2NiRh after structural relaxation, with properties calculated at the PBE-GGA level.

Computed properties:
ΔE_f = 1028 meV per atom
space group = P4/mmm, No. 123
calculated total energy = -5.2112 eV/atom

Unit cell a=4.857 b=4.857 c=5.397 alpha=90.00 beta=90.00 gamma=90.00
Sites, in units of the cell vectors:
Rb  0.000  0.000  0.000
Zr  0.000  0.500  0.500
Zr  0.500  0.000  0.500
Ni  0.000  0.000  0.500
Rh  0.500  0.500  0.000

---

# 2
Below is CdF after structural relaxation, with properties calculated at the PBE-GGA level.

Computed properties:
space group = F-43m, No. 216
calculated total energy = -2.7066 eV/atom

Unit cell a=5.515 b=5.515 c=5.515 alpha=90.00 beta=90.00 gamma=90.00
Sites, in units of the cell vectors:
Cd  0.000  0.000  0.000
Cd  0.000  0.500  0.500
Cd  0.500  0.000  0.500
Cd  0.500  0.500  0.000
F  0.250  0.250  0.250
F  0.250  0.750  0.750
F  0.750  0.250  0.750
F  0.750  0.750  0.250

---

# 3
Below is La2NiAu after structural relaxation, with properties calculated at the PBE-GGA level.

Computed properties:
ΔE_f = -469 meV per atom
space group = P4/mmm, No. 123
calculated total energy = -5.1972 eV/atom

Unit cell a=5.195 b=5.195 c=3.717 alpha=90.00 beta=90.00 gamma=90.00
Sites, in units of the cell vectors:
La  0.000  0.500  0.000
La  0.500  0.000  0.000
Ni  0.000  0.000  0.500
Au  0.500  0.500  0.500